Entry 1:
The following is a GGA-PBE calculation of a geometry-optimized LaAuSe2 structure, from Alexandria.

Results
- offset from the most stable computed form (meV per atom) = 303
- energy relative to the elements, uncorrected (eV per atom) = -0.9937
- space-group type = I-42d
- V (Å³/cell) = 506.9

```
16
Lattice="5.835 0.000 0.000 0.000 5.835 0.000 0.000 0.000 14.887" Properties=species:S:1:pos:R:3 pbc="T T T"
La 0.000 0.000 0.000
La 0.000 2.918 3.722
La 2.918 0.000 11.166
La 2.918 2.918 7.444
Au 0.000 0.000 7.444
Au 0.000 2.918 11.166
Au 2.918 0.000 3.722
Au 2.918 2.918 0.000
Se 1.259 1.459 9.305
Se 1.459 4.176 13.026
Se 1.459 4.577 5.583
Se 1.659 1.459 1.861
Se 4.176 4.377 1.861
Se 4.377 1.259 5.583
Se 4.377 1.659 13.026
Se 4.577 4.377 9.305
```



Entry 2:
The following is a GGA-PBE calculation of a geometry-optimized La2AuSe structure, from Alexandria.

Results
- offset from the most stable computed form (meV per atom) = 176
- energy relative to the elements, uncorrected (eV per atom) = -1.1999
- space-group type = Pmmm
- V (Å³/cell) = 105.8

```
4
Lattice="3.757 0.000 0.000 0.000 5.011 0.000 0.000 0.000 5.618" Properties=species:S:1:pos:R:3 pbc="T T T"
La 0.000 0.000 0.000
La 0.000 2.506 2.809
Au 1.879 0.000 2.809
Se 1.879 2.506 0.000
```



Entry 3:
The following is a GGA-PBE calculation of a geometry-optimized La6AuSe5 structure, from Alexandria.

Results
- energy relative to the elements, uncorrected (eV per atom) = -1.7943
- space-group type = C2/m
- V (Å³/cell) = 345.2

```
12
Lattice="3.756 -6.500 0.000 3.756 6.500 0.000 -2.503 0.000 7.069" Properties=species:S:1:pos:R:3 pbc="T T T"
La -0.010 2.192 5.292
La 1.228 0.000 1.782
La -0.010 -2.192 5.292
La 5.019 2.192 1.778
La 3.781 0.000 5.287
La 5.019 -2.192 1.778
Au 3.756 0.000 0.000
Se -1.251 0.000 3.535
Se 3.756 4.341 0.000
Se 2.505 2.169 3.535
Se 2.505 -2.169 3.535
Se 3.756 -4.341 0.000
```